# BaSr3Rh PBE-GGA relaxed
# Crystal system ... orthorhombic
# Final energy ... -30.5 eV for the cell shown
# Formation energy ... -0.182 eV per atom
# Space group ... Pma2, No. 28
data_BaSr3Rh
_cell_length_a 7.1072
_cell_length_b 7.4778
_cell_length_c 8.6099
_cell_angle_alpha 89.97
_cell_angle_beta 90.00
_cell_angle_gamma 90.00
_space_group_name_H-M_alt 'P 1'
_space_group_IT_number 1
_space_group_name_Hall 'P 1'
loop_
_atom_site_label
_atom_site_type_symbol
_atom_site_fract_x
_atom_site_fract_y
_atom_site_fract_z
_atom_site_occupancy
Rh1 Rh 0.3778 0.9336 0.1551 1
Sr1 Sr 0.6302 0.0878 0.4052 1
Rh2 Rh 0.8829 0.9335 0.6551 1
Sr2 Sr 0.6398 0.6148 0.6555 1
Ba1 Ba 0.1183 0.2569 0.6547 1
Sr3 Sr 0.6208 0.6148 0.1556 1
Ba2 Ba 0.1423 0.2570 0.1547 1
Sr4 Sr 0.1302 0.7741 0.4051 1
Sr5 Sr 0.6304 0.0878 0.9052 1
Sr6 Sr 0.1304 0.7740 0.9051 1